Entry 1:
DFT (GGA-PBE) results for crystalline LaGd2Mg3Ag3 at its relaxed geometry.

Unit cell a=4.2700 b=13.4332 c=7.7538 alpha=90.00 beta=90.00 gamma=90.00
Closest atoms and distances in Å follow each position.
Fractional coordinates of all 18 atoms:
La  0.0000  0.2094  0.0000  5 Ag 3.21-3.26, 6 Mg 3.42-3.56
La  0.0000  0.7906  0.0000  5 Ag 3.21-3.26, 6 Mg 3.42-3.56
Gd  0.0000  0.0000  0.6243  5 Ag 3.15-3.19, 6 Mg 3.39-3.50
Gd  0.0000  0.2944  0.5016  5 Ag 3.14-3.19, 6 Mg 3.42-3.50
Gd  0.0000  0.5000  0.1227  5 Ag 3.13-3.21, 2 Mg 3.41
Gd  0.0000  0.7056  0.5016  5 Ag 3.14-3.19, 6 Mg 3.42-3.50
Mg  0.5000  0.0000  0.9645  4 Ag 2.88-3.04
Mg  0.5000  0.1209  0.3339  4 Ag 2.84-3.06
Mg  0.5000  0.3813  0.8262  4 Ag 2.82-3.07
Mg  0.5000  0.5000  0.4662  4 Ag 2.85-2.93
Mg  0.5000  0.6187  0.8262  4 Ag 2.82-3.07
Mg  0.5000  0.8791  0.3339  4 Ag 2.84-3.06
Ag  0.0000  0.0000  0.2131  6 Mg 2.84-2.88
Ag  0.0000  0.5000  0.7088  6 Mg 2.82-2.85
Ag  0.5000  0.1664  0.6992  3 Mg 2.90-3.05, 4 Gd 3.14-3.15, 2 La 3.21
Ag  0.5000  0.3377  0.2146  3 Mg 2.93-3.07, 4 Gd 3.13-3.14, 2 La 3.21
Ag  0.5000  0.6623  0.2146  3 Mg 2.93-3.07, 4 Gd 3.13-3.14, 2 La 3.21
Ag  0.5000  0.8336  0.6992  3 Mg 2.90-3.05, 4 Gd 3.14-3.15, 2 La 3.21

Computed properties:
Space-group type   No. 25
Raw total energy   -3.32 eV per atom


Entry 2:
DFT (GGA-PBE) results for crystalline DyScAl2Pd4 at its relaxed geometry.

Unit cell a=4.3146 b=4.3146 c=8.9344 alpha=90.00 beta=90.00 gamma=120.00
Closest atoms and distances in Å follow each position.
Fractional coordinates of all 8 atoms:
Dy  0.0000  0.0000  0.0000  8 Pd 2.94-3.04
Sc  0.3333  0.6667  0.5000  8 Pd 2.87-2.90
Al  0.6667  0.3333  0.2623  6 Pd 2.59-2.61
Al  0.6667  0.3333  0.7377  6 Pd 2.59-2.61
Pd  0.0000  0.0000  0.3398  3 Al 2.59, 4 Pd 2.86-2.89, 3 Sc 2.87
Pd  0.0000  0.0000  0.6602  3 Al 2.59, 4 Pd 2.86-2.89, 3 Sc 2.87
Pd  0.3333  0.6667  0.1753  3 Al 2.61, 3 Pd 2.89, 1 Sc 2.90
Pd  0.3333  0.6667  0.8247  3 Al 2.61, 3 Pd 2.89, 1 Sc 2.90

Computed properties:
Space-group type   No. 187
Raw total energy   -5.82 eV per atom


Entry 3:
DFT (GGA-PBE) results for crystalline Tb2ErZn3NiAu2 at its relaxed geometry.

Unit cell a=3.9334 b=7.2392 c=7.2392 alpha=119.93 beta=90.00 gamma=90.00
Closest atoms and distances in Å follow each position.
Fractional coordinates of all 9 atoms:
Tb  0.0000  0.1982  0.8018  1 Ni 2.88, 4 Au 2.98, 4 Zn 3.18
Tb  0.0000  0.8018  0.1982  1 Ni 2.88, 4 Au 2.98, 4 Zn 3.18
Er  0.0000  0.5907  0.5907  1 Ni 2.83, 4 Au 2.95, 4 Zn 3.16
Zn  0.5000  0.1991  0.4275  2 Ni 2.57, 1 Au 2.85, 1 Zn 2.86
Zn  0.5000  0.4275  0.1991  2 Ni 2.57, 1 Au 2.85, 1 Zn 2.86
Zn  0.5000  0.9693  0.9693  2 Ni 2.58, 2 Au 2.85, 2 Zn 2.87
Ni  0.0000  0.2006  0.2006  6 Zn 2.57-2.58, 1 Er 2.83
Au  0.5000  0.5324  0.8607  3 Zn 2.85-2.90, 2 Er 2.95, 4 Tb 2.98
Au  0.5000  0.8607  0.5324  3 Zn 2.85-2.90, 2 Er 2.95, 4 Tb 2.98

Computed properties:
Space-group type   No. 38
Energy relative to the elements   -59 kJ/mol of atoms


Entry 4:
DFT (GGA-PBE) results for crystalline BaSiAg2Te2Se2 at its relaxed geometry.

Unit cell a=6.8585 b=6.6590 c=7.3852 alpha=58.19 beta=55.60 gamma=66.21
Closest atoms and distances in Å follow each position.
Fractional coordinates of all 8 atoms:
Ba  0.0000  0.0000  0.0000  4 Se 3.47-3.49, 4 Te 3.53-3.62
Si  0.4868  0.4868  0.5132  2 Se 2.29, 2 Te 2.53
Ag  0.2712  0.2712  0.2288  2 Te 2.80, 2 Se 2.81
Ag  0.7712  0.7712  0.7288  2 Te 2.80, 2 Se 2.81
Te  0.4598  0.8493  0.1507  1 Si 2.53, 2 Ag 2.80
Te  0.8493  0.4598  0.5402  1 Si 2.53, 2 Ag 2.80
Se  0.1523  0.5275  0.8477  1 Si 2.29
Se  0.5275  0.1523  0.4725  1 Si 2.29

Computed properties:
Space-group type   No. 42
E above lowest polymorph   6 meV/atom


Entry 5:
DFT (GGA-PBE) results for crystalline LuFeNiAs at its relaxed geometry.

Unit cell a=4.3661 b=4.3661 c=4.3661 alpha=60.00 beta=60.00 gamma=60.00
Closest atoms and distances in Å follow each position.
Fractional coordinates of all 4 atoms:
Lu  0.0000  0.0000  0.0000  4 Fe 2.67, 4 Ni 2.67
Fe  0.7500  0.7500  0.7500  4 Lu 2.67, 4 As 2.67
Ni  0.2500  0.2500  0.2500  4 As 2.67, 4 Lu 2.67
As  0.5000  0.5000  0.5000  4 Fe 2.67, 4 Ni 2.67

Computed properties:
Space-group type   No. 216
E above lowest polymorph   0 meV/atom


Entry 6:
DFT (GGA-PBE) results for crystalline NdNbAg at its relaxed geometry.

Unit cell a=4.7599 b=4.7599 c=4.7599 alpha=60.00 beta=60.00 gamma=60.00
Closest atoms and distances in Å follow each position.
Fractional coordinates of all 3 atoms:
Nd  0.0000  0.0000  0.0000  4 Nb 2.91
Nb  0.7500  0.7500  0.7500  4 Ag 2.91, 4 Nd 2.91
Ag  0.5000  0.5000  0.5000  4 Nb 2.91

Computed properties:
Space-group type   No. 216
Energy relative to the elements   92 kJ/mol of atoms


Entry 7:
DFT (GGA-PBE) results for crystalline CoCuSb2 at its relaxed geometry.

Unit cell a=7.1042 b=7.1042 c=7.1042 alpha=132.37 beta=132.37 gamma=69.64
Closest atoms and distances in Å follow each position.
Fractional coordinates of all 8 atoms:
Co  0.0000  0.0000  0.0000  4 Sb 2.42
Co  0.7500  0.2500  0.5000  4 Sb 2.42
Cu  0.2500  0.7500  0.5000  4 Sb 2.58
Cu  0.5000  0.5000  0.0000  4 Sb 2.58
Sb  0.1000  0.1250  0.4750  2 Co 2.42, 2 Cu 2.58
Sb  0.3750  0.9000  0.0250  2 Co 2.42, 2 Cu 2.58
Sb  0.6500  0.6250  0.5250  2 Co 2.42, 2 Cu 2.58
Sb  0.8750  0.3500  0.9750  2 Co 2.42, 2 Cu 2.58

Computed properties:
Space-group type   No. 122
Raw total energy   -4.43 eV per atom


Entry 8:
DFT (GGA-PBE) results for crystalline Sc2Si3Mo4N3 at its relaxed geometry.

Unit cell a=5.3447 b=5.3447 c=13.1368 alpha=101.86 beta=101.86 gamma=60.36
Closest atoms and distances in Å follow each position.
Fractional coordinates of all 24 atoms:
Sc  0.0356  0.8708  0.6093  3 N 2.17-2.26
Sc  0.1292  0.9644  0.8907  3 N 2.17-2.26
Sc  0.8708  0.0356  0.1093  3 N 2.17-2.26
Sc  0.9644  0.1292  0.3907  3 N 2.17-2.26
Si  0.0846  0.3686  0.7495  4 Mo 2.57-2.67, 4 Si 2.67-2.73
Si  0.3686  0.0846  0.2495  4 Mo 2.57-2.67, 4 Si 2.67-2.73
Si  0.4507  0.5493  0.2500  4 Mo 2.57-2.64, 4 Si 2.67-2.73
Si  0.5493  0.4507  0.7500  4 Mo 2.57-2.64, 4 Si 2.67-2.73
Si  0.6314  0.9154  0.7505  4 Mo 2.57-2.67, 4 Si 2.67-2.73
Si  0.9154  0.6314  0.2505  4 Mo 2.57-2.67, 4 Si 2.67-2.73
Mo  0.1978  0.3752  0.0847  3 N 2.12-2.14
Mo  0.3161  0.4531  0.4150  3 N 2.10-2.15
Mo  0.3752  0.1978  0.5847  3 N 2.12-2.14
Mo  0.4531  0.3161  0.9150  3 N 2.10-2.15
Mo  0.5469  0.6839  0.0850  3 N 2.10-2.15
Mo  0.6248  0.8022  0.4153  3 N 2.12-2.14
Mo  0.6839  0.5469  0.5850  3 N 2.10-2.15
Mo  0.8022  0.6248  0.9153  3 N 2.12-2.14
N  0.0000  0.5000  0.5000  4 Mo 2.10-2.12, 2 Sc 2.26
N  0.1524  0.6967  0.0001  4 Mo 2.12-2.15, 2 Sc 2.17
N  0.3033  0.8476  0.4999  4 Mo 2.12-2.15, 2 Sc 2.17
N  0.5000  0.0000  0.0000  4 Mo 2.10-2.12, 2 Sc 2.26
N  0.6967  0.1524  0.5001  4 Mo 2.12-2.15, 2 Sc 2.17
N  0.8476  0.3033  0.9999  4 Mo 2.12-2.15, 2 Sc 2.17

Computed properties:
Space-group type   No. 15
Raw total energy   -8.73 eV per atom


no.,calculated volume (Å³/f.u.)
1,222
2,144
3,179
4,234
5,59
6,76
7,96
8,158